First-principles (GGA-PBE) data for a relaxed structure of CsCaPSe4, as listed in Alexandria via LeMat-Bulk.

Unit cell a=6.8203 b=7.1469 c=9.8276 alpha=90.00 beta=108.50 gamma=90.00
Last column: nearest neighbours and their distance in Å.
Fractional positions:
Cs 0.2425 0.2500 0.4335  8 Se 3.68-3.96
Cs 0.7575 0.7500 0.5665  8 Se 3.68-3.96
Ca 0.2641 0.2500 0.9539  6 Se 3.00-3.09
Ca 0.7359 0.7500 0.0461  6 Se 3.00-3.09
P 0.2996 0.7500 0.1682  4 Se 2.22-2.24
P 0.7004 0.2500 0.8318  4 Se 2.22-2.24
Se 0.1023 0.7500 0.9404  1 P 2.22
Se 0.1070 0.7500 0.3129  1 P 2.22
Se 0.4899 0.0022 0.7937  1 P 2.24
Se 0.4899 0.4978 0.7937  1 P 2.24
Se 0.5101 0.5022 0.2063  1 P 2.24
Se 0.5101 0.9978 0.2063  1 P 2.24
Se 0.8930 0.2500 0.6871  1 P 2.22
Se 0.8977 0.2500 0.0596  1 P 2.22

- density (g cm⁻³) = 3.80
- magnetization (μB/atom) = 0.000
- E_form (uncorrected) (eV per atom) = -0.990